Entry 1:
DFT (PBE-GGA) results for CdOs2Pb after structural relaxation.

The structure in POSCAR format:
```
CdOs2Pb
1.0
-0.3567 -2.1598 2.0094
2.1994 1.1542 1.6309
-5.9055 5.0560 4.3860
Pb Os Cd
1 2 1
Direct
0.0000 0.0000 0.4583
0.0000 0.0000 0.0309
0.5000 0.5000 0.2060
0.5000 0.5000 0.8048
```

**Space-group type**: P4mm, No. 99

***

Entry 2:
DFT (PBE-GGA) results for CdOs2Pb after structural relaxation.

The structure in POSCAR format:
```
CdOs2Pb
1.0
4.6990 0.0000 0.0000
2.3495 4.0695 0.0000
2.3495 1.3565 3.8367
Pb Os Cd
1 2 1
Direct
0.2500 0.2500 0.2500
0.0000 0.0000 0.0000
0.7500 0.7500 0.7500
0.5000 0.5000 0.5000
```

**Space-group type**: F-43m, No. 216

***

Entry 3:
DFT (PBE-GGA) results for CdOs2Pb after structural relaxation.

The structure in POSCAR format:
```
CdOs2Pb
1.0
-0.7636 -0.1110 4.5844
-3.8044 1.9998 1.7719
-3.4218 -2.6332 1.7234
Pb Os Cd
1 2 1
Direct
0.5000 0.5000 0.5000
0.2500 0.2500 0.2500
0.7500 0.7500 0.7500
0.0000 0.0000 0.0000
```

**Space-group type**: Fm-3m, No. 225

***

Entry 4:
DFT (PBE-GGA) results for Cd2OsPb after structural relaxation.

The structure in POSCAR format:
```
Cd2OsPb
1.0
5.2812 -0.0125 0.0254
4.1249 3.2979 0.0254
3.2036 1.1190 5.1153
Pb Os Cd
1 1 2
Direct
0.1979 0.1979 0.3766
0.4908 0.4908 0.3528
0.0145 0.0145 0.9851
0.7968 0.7968 0.7856
```

**Space-group type**: Cm, No. 8

***

Entry 5:
DFT (PBE-GGA) results for Cd2OsPb after structural relaxation.

The structure in POSCAR format:
```
Cd2OsPb
1.0
-3.5571 -3.5697 0.1705
0.8164 -0.6709 2.9862
-3.0664 3.2194 3.4287
Pb Os Cd
1 1 2
Direct
0.5000 0.7500 0.7500
0.5000 0.2500 0.2500
0.0000 0.1091 0.0237
0.0000 0.3909 0.4763
```

**Space-group type**: P2/m, No. 10

***

Entry 6:
DFT (PBE-GGA) results for Cd2OsPb after structural relaxation.

The structure in POSCAR format:
```
Cd2OsPb
1.0
-1.6247 -1.4957 -2.2731
-0.9607 -2.1617 2.1091
-7.0555 4.9061 1.8147
Pb Os Cd
1 1 2
Direct
0.5000 0.5000 0.6989
0.0000 0.0000 0.4869
0.0000 0.0000 0.0295
0.5000 0.5000 0.2847
```

**Space-group type**: P4mm, No. 99

***

Electronic total energy values, unit eV per atom, following the record order: -6.333; -5.660; -5.737; -3.656; -3.541; -3.643.
Calculated formation energy values, unit eV/atom, following the record order: 0.44; 1.11; 1.03; 0.54; 0.65; 0.55.